1.
Entry from Alexandria: a relaxed structure of KLaB6C6 (PBE).

**Formation energy**: 0.1489 eV per atom
**Theoretical density**: 4.5 Mg/m³

The structure in extended XYZ format:
```
14
Lattice="-1.281 -3.380 3.276 2.572 -3.346 -2.447 3.942 1.085 2.661" Properties=species:S:1:pos:R:3 pbc="T T T"
B 0.319 -4.224 1.249
B 2.602 -0.278 0.730
B 0.972 -2.502 -0.420
C 4.223 -0.865 0.759
C 1.017 -1.975 3.771
B 3.913 -1.983 -0.516
K 0.000 0.000 0.000
C 0.016 -2.543 1.014
C 1.276 -4.183 -0.184
B 2.335 -0.871 3.646
C 1.644 -0.320 2.166
B 0.326 -1.424 2.291
C 2.292 -1.396 -0.545
La 2.617 -2.821 1.745
```

---

2.
Entry from Alexandria: a relaxed structure of LaTb3Pm2Sm6 (PBE).

**Formation energy**: 0.0167 eV per atom
**Theoretical density**: 7.4 Mg/m³

The structure in extended XYZ format:
```
12
Lattice="6.286 -0.001 0.014 -3.142 5.444 0.014 -1.076 -1.863 11.838" Properties=species:S:1:pos:R:3 pbc="T T T"
Pm 0.002 3.628 0.014
La 0.000 0.000 0.000
Tb 1.034 1.790 5.933
Pm 3.142 1.815 0.014
Sm 3.124 1.773 8.856
Sm -0.019 -0.034 8.840
Tb -2.106 3.604 5.933
Sm 2.087 3.614 3.026
Sm -1.056 1.808 3.010
Tb 4.174 -0.023 5.933
Sm -0.026 3.592 8.856
Sm 2.093 -0.011 3.010
```

---

3.
Entry from Alexandria: a relaxed structure of BaZnGa2Bi (PBE).

**Formation energy**: 0.3664 eV per atom
**Theoretical density**: 4.3 Mg/m³

The structure in extended XYZ format:
```
5
Lattice="5.584 0.000 0.000 0.000 6.780 0.000 0.000 0.000 5.584" Properties=species:S:1:pos:R:3 pbc="T T T"
Zn 2.792 3.390 2.792
Ba 0.000 3.390 0.000
Ga 0.000 0.000 2.792
Bi 0.000 0.000 0.000
Ga 2.792 0.000 0.000
```

---

| no. | final energy (eV/f.u.) |
| --- | --- |
| 1 | -99.3 |
| 2 | -56.4 |
| 3 | -11.3 |